(1)
AlZnIn2F6 | PBE | optimized geometry

## Properties
DFT total energy in eV/cell: -44.3
Formation energy (no corrections) in eV/f.u.: -22.58
Magnetization in μB per cell: 1.02

Geometry as CIF:
```
data_AlZnIn2F6
_symmetry_space_group_name_H-M 'P 1'
_symmetry_Int_Tables_number 1
_cell_length_a 6.057
_cell_length_b 6.059
_cell_length_c 6.081
_cell_angle_alpha 59.83
_cell_angle_beta 59.84
_cell_angle_gamma 89.92
loop_
_symmetry_equiv_pos_as_xyz
'x,y,z'
loop_
_atom_site_label
_atom_site_type_symbol
_atom_site_fract_x
_atom_site_fract_y
_atom_site_fract_z
F1 F 0.716 0.284 0.000
F2 F 0.716 0.716 0.998
F3 F 0.284 0.284 0.002
F4 F 0.717 0.716 0.569
F5 F 0.284 0.716 0.000
F6 F 0.283 0.284 0.431
In1 In 0.751 0.249 0.500
In2 In 0.249 0.751 0.500
Al1 Al 0.500 0.500 0.000
Zn1 Zn 0.000 0.000 0.000
```

=====

(2)
Al2ZnInF | PBE | optimized geometry

## Properties
DFT total energy in eV/cell: -13.3
Formation energy (no corrections) in eV/f.u.: 0.05
Magnetization in μB per cell: 0.00

Geometry as CIF:
```
data_Al2ZnInF
_symmetry_space_group_name_H-M 'P 1'
_symmetry_Int_Tables_number 1
_cell_length_a 4.653
_cell_length_b 5.581
_cell_length_c 4.653
_cell_angle_alpha 90.00
_cell_angle_beta 90.00
_cell_angle_gamma 90.00
loop_
_symmetry_equiv_pos_as_xyz
'x,y,z'
loop_
_atom_site_label
_atom_site_type_symbol
_atom_site_fract_x
_atom_site_fract_y
_atom_site_fract_z
In1 In 0.000 0.500 0.000
F1 F 0.500 0.500 0.500
Zn1 Zn 0.000 0.000 0.000
Al1 Al 0.500 0.000 0.000
Al2 Al 0.000 0.000 0.500
```

=====

(3)
ZrAl2InF | PBE | optimized geometry

## Properties
DFT total energy in eV/cell: -17.4
Formation energy (no corrections) in eV/f.u.: 3.29
Magnetization in μB per cell: 0.00

Geometry as CIF:
```
data_ZrAl2InF
_symmetry_space_group_name_H-M 'P 1'
_symmetry_Int_Tables_number 1
_cell_length_a 5.005
_cell_length_b 5.556
_cell_length_c 5.005
_cell_angle_alpha 90.00
_cell_angle_beta 90.00
_cell_angle_gamma 90.00
loop_
_symmetry_equiv_pos_as_xyz
'x,y,z'
loop_
_atom_site_label
_atom_site_type_symbol
_atom_site_fract_x
_atom_site_fract_y
_atom_site_fract_z
In1 In 0.000 0.000 0.000
Zr1 Zr 0.000 0.500 0.000
F1 F 0.500 0.500 0.500
Al1 Al 0.500 0.000 0.000
Al2 Al 0.000 0.000 0.500
```

=====

(4)
AlIrF3 | PBE | optimized geometry

## Properties
DFT total energy in eV/cell: -21.6
Formation energy (no corrections) in eV/f.u.: -3.34
Energy relative to the lowest polymorph listed for this composition in meV per atom: 388
Magnetization in μB per cell: 0.00

Geometry as CIF:
```
data_AlIrF3
_symmetry_space_group_name_H-M 'P 1'
_symmetry_Int_Tables_number 1
_cell_length_a 4.291
_cell_length_b 4.291
_cell_length_c 4.291
_cell_angle_alpha 90.00
_cell_angle_beta 90.00
_cell_angle_gamma 90.00
loop_
_symmetry_equiv_pos_as_xyz
'x,y,z'
loop_
_atom_site_label
_atom_site_type_symbol
_atom_site_fract_x
_atom_site_fract_y
_atom_site_fract_z
F1 F 0.500 0.000 0.000
F2 F 0.000 0.500 0.000
F3 F 0.000 0.000 0.500
Al1 Al 0.500 0.500 0.500
Ir1 Ir 0.000 0.000 0.000
```

=====

(5)
Al2Ir2F | PBE | optimized geometry

## Properties
DFT total energy in eV/cell: -60.1
Formation energy (no corrections) in eV/f.u.: -2.99
Energy relative to the lowest polymorph listed for this composition in meV per atom: 0
Magnetization in μB per cell: 0.00

Geometry as CIF:
```
data_Al2Ir2F
_symmetry_space_group_name_H-M 'P 1'
_symmetry_Int_Tables_number 1
_cell_length_a 7.091
_cell_length_b 7.091
_cell_length_c 2.928
_cell_angle_alpha 90.00
_cell_angle_beta 90.00
_cell_angle_gamma 90.00
loop_
_symmetry_equiv_pos_as_xyz
'x,y,z'
loop_
_atom_site_label
_atom_site_type_symbol
_atom_site_fract_x
_atom_site_fract_y
_atom_site_fract_z
Al1 Al 0.347 0.153 0.500
Al2 Al 0.847 0.347 0.500
Al3 Al 0.153 0.653 0.500
Al4 Al 0.653 0.847 0.500
Ir1 Ir 0.856 0.644 0.000
Ir2 Ir 0.356 0.856 0.000
Ir3 Ir 0.144 0.356 0.000
Ir4 Ir 0.644 0.144 0.000
F1 F 0.000 0.000 0.000
F2 F 0.500 0.500 0.000
```

=====

(6)
Al2Ir2F | PBE | optimized geometry

## Properties
DFT total energy in eV/cell: -29.0
Formation energy (no corrections) in eV/f.u.: -1.88
Energy relative to the lowest polymorph listed for this composition in meV per atom: 223
Magnetization in μB per cell: 0.00

Geometry as CIF:
```
data_Al2Ir2F
_symmetry_space_group_name_H-M 'P 1'
_symmetry_Int_Tables_number 1
_cell_length_a 4.861
_cell_length_b 4.861
_cell_length_c 4.943
_cell_angle_alpha 60.55
_cell_angle_beta 60.55
_cell_angle_gamma 90.00
loop_
_symmetry_equiv_pos_as_xyz
'x,y,z'
loop_
_atom_site_label
_atom_site_type_symbol
_atom_site_fract_x
_atom_site_fract_y
_atom_site_fract_z
Al1 Al 0.750 0.250 0.500
Al2 Al 0.250 0.750 0.500
Ir1 Ir 0.333 0.333 0.334
Ir2 Ir 0.667 0.667 0.666
F1 F 0.000 0.000 0.000
```

=====

(7)
AlIr3F | PBE | optimized geometry

## Properties
DFT total energy in eV/cell: -27.1
Formation energy (no corrections) in eV/f.u.: 5.11
Energy relative to the lowest polymorph listed for this composition in meV per atom: 0
Magnetization in μB per cell: 0.00

Geometry as CIF:
```
data_AlIr3F
_symmetry_space_group_name_H-M 'P 1'
_symmetry_Int_Tables_number 1
_cell_length_a 4.244
_cell_length_b 4.244
_cell_length_c 4.244
_cell_angle_alpha 90.00
_cell_angle_beta 90.00
_cell_angle_gamma 90.00
loop_
_symmetry_equiv_pos_as_xyz
'x,y,z'
loop_
_atom_site_label
_atom_site_type_symbol
_atom_site_fract_x
_atom_site_fract_y
_atom_site_fract_z
Ir1 Ir 0.500 0.000 0.000
Ir2 Ir 0.000 0.500 0.000
Ir3 Ir 0.000 0.000 0.500
Al1 Al 0.500 0.500 0.500
F1 F 0.000 0.000 0.000
```

=====

(8)
AlIr3F | PBE | optimized geometry

## Properties
DFT total energy in eV/cell: -25.2
Formation energy (no corrections) in eV/f.u.: 7.01
Energy relative to the lowest polymorph listed for this composition in meV per atom: 380
Magnetization in μB per cell: 3.31

Geometry as CIF:
```
data_AlIr3F
_symmetry_space_group_name_H-M 'P 1'
_symmetry_Int_Tables_number 1
_cell_length_a 4.533
_cell_length_b 4.533
_cell_length_c 4.533
_cell_angle_alpha 90.00
_cell_angle_beta 90.00
_cell_angle_gamma 90.00
loop_
_symmetry_equiv_pos_as_xyz
'x,y,z'
loop_
_atom_site_label
_atom_site_type_symbol
_atom_site_fract_x
_atom_site_fract_y
_atom_site_fract_z
Ir1 Ir 0.500 0.000 0.000
Ir2 Ir 0.000 0.000 0.500
Ir3 Ir 0.000 0.500 0.000
F1 F 0.500 0.500 0.500
Al1 Al 0.000 0.000 0.000
```

=====

(9)
AlIrF3 | PBE | optimized geometry

## Properties
DFT total energy in eV/cell: -23.5
Formation energy (no corrections) in eV/f.u.: -5.28
Energy relative to the lowest polymorph listed for this composition in meV per atom: 0
Magnetization in μB per cell: 1.50

Geometry as CIF:
```
data_AlIrF3
_symmetry_space_group_name_H-M 'P 1'
_symmetry_Int_Tables_number 1
_cell_length_a 3.906
_cell_length_b 3.906
_cell_length_c 3.906
_cell_angle_alpha 90.00
_cell_angle_beta 90.00
_cell_angle_gamma 90.00
loop_
_symmetry_equiv_pos_as_xyz
'x,y,z'
loop_
_atom_site_label
_atom_site_type_symbol
_atom_site_fract_x
_atom_site_fract_y
_atom_site_fract_z
Al1 Al 0.000 0.000 0.000
F1 F 0.000 0.500 0.000
F2 F 0.500 0.000 0.000
F3 F 0.000 0.000 0.500
Ir1 Ir 0.500 0.500 0.500
```

=====

(10)
K2AlIrF | PBE | optimized geometry

## Properties
DFT total energy in eV/cell: -15.0
Formation energy (no corrections) in eV/f.u.: 1.62
Magnetization in μB per cell: 1.12

Geometry as CIF:
```
data_K2AlIrF
_symmetry_space_group_name_H-M 'P 1'
_symmetry_Int_Tables_number 1
_cell_length_a 6.492
_cell_length_b 3.953
_cell_length_c 6.492
_cell_angle_alpha 90.00
_cell_angle_beta 90.00
_cell_angle_gamma 90.00
loop_
_symmetry_equiv_pos_as_xyz
'x,y,z'
loop_
_atom_site_label
_atom_site_type_symbol
_atom_site_fract_x
_atom_site_fract_y
_atom_site_fract_z
K1 K 0.000 0.000 0.500
K2 K 0.500 0.000 0.000
Al1 Al 0.500 0.500 0.500
F1 F 0.000 0.500 0.000
Ir1 Ir 0.000 0.000 0.000
```

=====

(11)
AlIrNF2 | PBE | optimized geometry

## Properties
DFT total energy in eV/cell: -28.2
Formation energy (no corrections) in eV/f.u.: -3.49
Energy relative to the lowest polymorph listed for this composition in meV per atom: 0
Magnetization in μB per cell: 1.24

Geometry as CIF:
```
data_AlIrNF2
_symmetry_space_group_name_H-M 'P 1'
_symmetry_Int_Tables_number 1
_cell_length_a 3.368
_cell_length_b 3.368
_cell_length_c 5.015
_cell_angle_alpha 90.00
_cell_angle_beta 90.00
_cell_angle_gamma 90.00
loop_
_symmetry_equiv_pos_as_xyz
'x,y,z'
loop_
_atom_site_label
_atom_site_type_symbol
_atom_site_fract_x
_atom_site_fract_y
_atom_site_fract_z
Ir1 Ir 0.500 0.500 0.500
F1 F 0.000 0.500 0.000
F2 F 0.500 0.000 0.000
Al1 Al 0.000 0.000 0.000
N1 N 0.000 0.000 0.500
```

=====

(12)
AlIrN2F | PBE | optimized geometry

## Properties
DFT total energy in eV/cell: -29.8
Formation energy (no corrections) in eV/f.u.: 1.29
Energy relative to the lowest polymorph listed for this composition in meV per atom: 0
Magnetization in μB per cell: 0.23

Geometry as CIF:
```
data_AlIrN2F
_symmetry_space_group_name_H-M 'P 1'
_symmetry_Int_Tables_number 1
_cell_length_a 3.904
_cell_length_b 3.904
_cell_length_c 3.358
_cell_angle_alpha 90.00
_cell_angle_beta 90.00
_cell_angle_gamma 90.00
loop_
_symmetry_equiv_pos_as_xyz
'x,y,z'
loop_
_atom_site_label
_atom_site_type_symbol
_atom_site_fract_x
_atom_site_fract_y
_atom_site_fract_z
Al1 Al 0.000 0.000 0.000
F1 F 0.000 0.000 0.500
N1 N 0.500 0.000 0.000
N2 N 0.000 0.500 0.000
Ir1 Ir 0.500 0.500 0.500
```

=====

(13)
AlIrN2F | PBE | optimized geometry

## Properties
DFT total energy in eV/cell: -28.9
Formation energy (no corrections) in eV/f.u.: 2.27
Energy relative to the lowest polymorph listed for this composition in meV per atom: 196
Magnetization in μB per cell: 0.37

Geometry as CIF:
```
data_AlIrN2F
_symmetry_space_group_name_H-M 'P 1'
_symmetry_Int_Tables_number 1
_cell_length_a 3.800
_cell_length_b 3.800
_cell_length_c 4.811
_cell_angle_alpha 90.00
_cell_angle_beta 90.00
_cell_angle_gamma 90.00
loop_
_symmetry_equiv_pos_as_xyz
'x,y,z'
loop_
_atom_site_label
_atom_site_type_symbol
_atom_site_fract_x
_atom_site_fract_y
_atom_site_fract_z
Ir1 Ir 0.000 0.000 0.000
Al1 Al 0.500 0.500 0.500
F1 F 0.000 0.000 0.500
N1 N 0.500 0.000 0.000
N2 N 0.000 0.500 0.000
```

=====

(14)
AlIrNF2 | PBE | optimized geometry

## Properties
DFT total energy in eV/cell: -26.1
Formation energy (no corrections) in eV/f.u.: -1.41
Energy relative to the lowest polymorph listed for this composition in meV per atom: 415
Magnetization in μB per cell: 0.00

Geometry as CIF:
```
data_AlIrNF2
_symmetry_space_group_name_H-M 'P 1'
_symmetry_Int_Tables_number 1
_cell_length_a 4.494
_cell_length_b 4.494
_cell_length_c 3.697
_cell_angle_alpha 90.00
_cell_angle_beta 90.00
_cell_angle_gamma 90.00
loop_
_symmetry_equiv_pos_as_xyz
'x,y,z'
loop_
_atom_site_label
_atom_site_type_symbol
_atom_site_fract_x
_atom_site_fract_y
_atom_site_fract_z
F1 F 0.500 0.000 0.000
F2 F 0.000 0.500 0.000
Ir1 Ir 0.000 0.000 0.000
N1 N 0.000 0.000 0.500
Al1 Al 0.500 0.500 0.500
```

=====

(15)
AlIrOF2 | PBE | optimized geometry

## Properties
DFT total energy in eV/cell: -26.9
Formation energy (no corrections) in eV/f.u.: -5.60
Energy relative to the lowest polymorph listed for this composition in meV per atom: 0
Magnetization in μB per cell: 2.01

Geometry as CIF:
```
data_AlIrOF2
_symmetry_space_group_name_H-M 'P 1'
_symmetry_Int_Tables_number 1
_cell_length_a 3.671
_cell_length_b 3.671
_cell_length_c 4.117
_cell_angle_alpha 90.00
_cell_angle_beta 90.00
_cell_angle_gamma 90.00
loop_
_symmetry_equiv_pos_as_xyz
'x,y,z'
loop_
_atom_site_label
_atom_site_type_symbol
_atom_site_fract_x
_atom_site_fract_y
_atom_site_fract_z
O1 O 0.000 0.000 0.500
Ir1 Ir 0.500 0.500 0.500
Al1 Al 0.000 0.000 0.000
F1 F 0.500 0.000 0.000
F2 F 0.000 0.500 0.000
```

=====

(16)
AlIrOF2 | PBE | optimized geometry

## Properties
DFT total energy in eV/cell: -24.6
Formation energy (no corrections) in eV/f.u.: -3.33
Energy relative to the lowest polymorph listed for this composition in meV per atom: 454
Magnetization in μB per cell: 0.00

Geometry as CIF:
```
data_AlIrOF2
_symmetry_space_group_name_H-M 'P 1'
_symmetry_Int_Tables_number 1
_cell_length_a 4.502
_cell_length_b 4.502
_cell_length_c 3.749
_cell_angle_alpha 90.00
_cell_angle_beta 90.00
_cell_angle_gamma 90.00
loop_
_symmetry_equiv_pos_as_xyz
'x,y,z'
loop_
_atom_site_label
_atom_site_type_symbol
_atom_site_fract_x
_atom_site_fract_y
_atom_site_fract_z
Al1 Al 0.500 0.500 0.500
Ir1 Ir 0.000 0.000 0.000
F1 F 0.500 0.000 0.000
F2 F 0.000 0.500 0.000
O1 O 0.000 0.000 0.500
```

=====

(17)
RbAlIrF2 | PBE | optimized geometry

## Properties
DFT total energy in eV/cell: -20.7
Formation energy (no corrections) in eV/f.u.: -3.35
Magnetization in μB per cell: 0.00

Geometry as CIF:
```
data_RbAlIrF2
_symmetry_space_group_name_H-M 'P 1'
_symmetry_Int_Tables_number 1
_cell_length_a 4.747
_cell_length_b 4.680
_cell_length_c 4.747
_cell_angle_alpha 90.00
_cell_angle_beta 90.00
_cell_angle_gamma 90.00
loop_
_symmetry_equiv_pos_as_xyz
'x,y,z'
loop_
_atom_site_label
_atom_site_type_symbol
_atom_site_fract_x
_atom_site_fract_y
_atom_site_fract_z
Ir1 Ir 0.000 0.000 0.000
Al1 Al 0.000 0.500 0.000
F1 F 0.500 0.000 0.000
F2 F 0.000 0.000 0.500
Rb1 Rb 0.500 0.500 0.500
```

=====

(18)
Rb2AlIrF6 | PBE | optimized geometry

## Properties
DFT total energy in eV/cell: -49.6
Formation energy (no corrections) in eV/f.u.: -23.84
Magnetization in μB per cell: 0.00

Geometry as CIF:
```
data_Rb2AlIrF6
_symmetry_space_group_name_H-M 'P 1'
_symmetry_Int_Tables_number 1
_cell_length_a 5.564
_cell_length_b 5.564
_cell_length_c 6.713
_cell_angle_alpha 65.52
_cell_angle_beta 65.52
_cell_angle_gamma 90.00
loop_
_symmetry_equiv_pos_as_xyz
'x,y,z'
loop_
_atom_site_label
_atom_site_type_symbol
_atom_site_fract_x
_atom_site_fract_y
_atom_site_fract_z
Rb1 Rb 0.750 0.250 0.500
Rb2 Rb 0.250 0.750 0.500
Ir1 Ir 0.000 0.000 0.000
Al1 Al 0.500 0.500 0.000
F1 F 0.264 0.736 0.000
F2 F 0.664 0.664 0.672
F3 F 0.336 0.336 0.328
F4 F 0.264 0.264 0.000
F5 F 0.736 0.736 0.000
F6 F 0.736 0.264 0.000
```

=====

(19)
ZrAlIrF2 | PBE | optimized geometry

## Properties
DFT total energy in eV/cell: -32.7
Formation energy (no corrections) in eV/f.u.: -7.77
Magnetization in μB per cell: 0.00

Geometry as CIF:
```
data_ZrAlIrF2
_symmetry_space_group_name_H-M 'P 1'
_symmetry_Int_Tables_number 1
_cell_length_a 4.048
_cell_length_b 5.427
_cell_length_c 4.048
_cell_angle_alpha 90.00
_cell_angle_beta 90.00
_cell_angle_gamma 90.00
loop_
_symmetry_equiv_pos_as_xyz
'x,y,z'
loop_
_atom_site_label
_atom_site_type_symbol
_atom_site_fract_x
_atom_site_fract_y
_atom_site_fract_z
F1 F 0.000 0.000 0.500
F2 F 0.500 0.000 0.000
Ir1 Ir 0.000 0.500 0.000
Zr1 Zr 0.000 0.000 0.000
Al1 Al 0.500 0.500 0.500
```

=====

(20)
K3AlF7 | PBE | optimized geometry

## Properties
DFT total energy in eV/cell: -51.3
Formation energy (no corrections) in eV/f.u.: -31.12
Magnetization in μB per cell: 1.08

Geometry as CIF:
```
data_K3AlF7
_symmetry_space_group_name_H-M 'P 1'
_symmetry_Int_Tables_number 1
_cell_length_a 6.310
_cell_length_b 6.310
_cell_length_c 5.906
_cell_angle_alpha 66.20
_cell_angle_beta 66.20
_cell_angle_gamma 93.84
loop_
_symmetry_equiv_pos_as_xyz
'x,y,z'
loop_
_atom_site_label
_atom_site_type_symbol
_atom_site_fract_x
_atom_site_fract_y
_atom_site_fract_z
F1 F 0.062 0.062 0.194
F2 F 0.695 0.088 0.114
F3 F 0.662 0.662 0.487
F4 F 0.352 0.141 0.585
F5 F 0.807 0.807 0.912
F6 F 0.141 0.352 0.585
F7 F 0.088 0.695 0.114
K1 K 0.220 0.774 0.532
K2 K 0.774 0.220 0.532
K3 K 0.443 0.443 0.055
Al1 Al 0.880 0.880 0.141
```